First-principles (GGA-PBE) data for a relaxed structure of MgSeN2, as listed in the Alexandria database.

distance to the lowest polymorph of the same formula = 668.5 meV per atom

extended XYZ file:
```
4
Lattice="3.407 0.049 2.060 -0.078 0.323 3.968 0.998 -3.114 2.271" Properties=species:S:1:pos:R:3 pbc="T T T"
Mg 0.000 0.000 0.000
Se 2.163 -1.371 4.150
N 1.082 -0.685 2.075
N 3.245 -2.056 6.224
```

---

First-principles (GGA-PBE) data for a relaxed structure of CsMgP, as listed in the Alexandria database.

formation energy from the elements = -0.163 eV per atom

extended XYZ file:
```
6
Lattice="5.703 0.000 -0.013 2.140 6.006 -3.260 -2.140 6.006 3.260" Properties=species:S:1:pos:R:3 pbc="T T T"
Cs 0.072 9.626 0.038
Cs 0.072 2.387 0.038
P 4.947 6.006 0.941
P 0.908 6.006 2.483
Mg 4.661 6.006 -1.542
Mg 2.397 6.006 0.421
```